No. 1
Below is a relaxed structure of MgZnCu2, with properties calculated at the GGA-PBE level.

a = 6.0680 Å, b = 6.0680 Å, c = 6.0680 Å
α = 90.00°, β = 90.00°, γ = 90.00°
Last column: nearest neighbours and their distance in Å.
Space group Pm-3m (No. 221)
Unique sites:
Mg 0.0000 0.0000 0.0000 (multiplicity 1)  8 Cu 2.74, 6 Mg 3.03
Mg 0.0000 0.0000 0.5000 (multiplicity 3)  8 Cu 2.67
Zn 0.0000 0.5000 0.5000 (multiplicity 3)  8 Cu 2.59
Zn 0.5000 0.5000 0.5000 (multiplicity 1)  8 Cu 2.51
Cu 0.2609 0.2609 0.2609 (multiplicity 8)  4 Zn 2.51-2.59, 4 Mg 2.67-2.74

Results
Energy   -42.67 eV per cell

---

No. 2
Below is a relaxed structure of CuMo2, with properties calculated at the GGA-PBE level.

a = 5.7979 Å, b = 5.7979 Å, c = 5.7979 Å
α = 90.00°, β = 90.00°, γ = 90.00°
Last column: nearest neighbours and their distance in Å.
Space group Fm-3m (No. 225)
Unique sites:
Cu 0.0000 0.0000 0.0000 (multiplicity 4)  8 Mo 2.51
Mo 0.2500 0.2500 0.2500 (multiplicity 8)  4 Cu 2.51

Results
Distance to the lowest polymorph of the same formula   290 meV per atom

---

Number 1: volume 56 Å³/f.u.. Number 2: volume 49 Å³/f.u..